Density functional theory data (PBE) for a relaxed structure of KAg2GeTe4.

Structure (POSCAR):
```
KAg2GeTe4
1.0
7.574 0.000 0.000
3.787 5.891 -0.902
3.787 -0.244 5.954
K Ag Ge Te
1 2 1 4
Direct
0.000 0.000 0.000 K
0.500 0.750 0.250 Ag
0.500 0.250 0.750 Ag
0.000 0.500 0.500 Ge
0.596 0.541 0.862 Te
0.404 0.138 0.459 Te
0.000 0.459 0.138 Te
0.000 0.862 0.541 Te
```

## Properties
The uncorrected formation energy is -0.251 eV/atom. The magnetization comes out at 0.00 μB/f.u. Its symmetry is I-42m (121).


Density functional theory data (PBE) for a relaxed structure of Rb2CoP2.

Structure (POSCAR):
```
Rb2CoP2
1.0
6.050 0.000 0.000
0.000 6.050 0.000
0.000 0.000 5.755
P Co Rb
4 2 4
Direct
0.364 0.864 0.000 P
0.864 0.636 0.000 P
0.636 0.136 0.000 P
0.136 0.364 0.000 P
0.000 0.000 0.000 Co
0.500 0.500 0.000 Co
0.181 0.681 0.500 Rb
0.681 0.819 0.500 Rb
0.819 0.319 0.500 Rb
0.319 0.181 0.500 Rb
```

## Properties
Its formation energy is -21 meV per atom. The magnetization comes out at 0.00 μB/f.u. Its symmetry is P4/mbm (127).


Density functional theory data (PBE) for a relaxed structure of BaGeC3.

Structure (POSCAR):
```
BaGeC3
1.0
-1.790 -4.165 1.440
4.310 -1.978 -0.363
0.917 1.168 4.518
C Ge Ba
3 1 1
Direct
0.000 0.500 0.000 C
0.000 0.000 0.500 C
0.500 0.000 0.000 C
0.500 0.500 0.500 Ge
0.000 0.000 0.000 Ba
```

## Properties
Its formation energy is 3596 meV per atom. The energy relative to the lowest polymorph listed for this composition is 1698 meV/atom. The magnetization comes out at 1.85 μB/f.u. Its symmetry is Pm-3m (221).


Density functional theory data (PBE) for a relaxed structure of MnZn2Co.

Structure (POSCAR):
```
MnZn2Co
1.0
-2.034 -3.092 -3.124
-2.792 -3.434 1.967
0.575 4.793 -0.389
Zn Mn Co
2 1 1
Direct
0.001 0.001 0.000 Zn
0.256 0.756 0.500 Zn
0.738 0.238 0.500 Mn
0.504 0.504 0.000 Co
```

## Properties
Its formation energy is 31 meV per atom. The energy relative to the lowest polymorph listed for this composition is 74 meV/atom. The magnetization comes out at 4.36 μB/f.u. Its symmetry is Imm2 (44).


Density functional theory data (PBE) for a relaxed structure of LaIn2Re.

Structure (POSCAR):
```
LaIn2Re
1.0
-2.047 0.774 3.748
-3.826 -0.495 -1.988
-2.757 -10.345 3.142
Re In La
2 4 2
Direct
0.000 0.000 0.000 Re
0.750 0.250 0.500 Re
0.663 0.125 0.250 In
0.087 0.625 0.250 In
0.375 0.337 0.750 In
0.875 0.913 0.750 In
0.500 0.500 0.000 La
0.250 0.750 0.500 La
```

## Properties
Its formation energy is 524 meV per atom. The energy relative to the lowest polymorph listed for this composition is 343 meV/atom. The magnetization comes out at 0.31 μB/f.u. Its symmetry is I-42d (122).


Density functional theory data (PBE) for a relaxed structure of KSb.

Structure (POSCAR):
```
KSb
1.0
6.324 0.000 0.000
0.000 17.500 0.000
0.000 0.000 10.863
K Sb
16 16
Direct
0.000 0.000 0.661 K
0.000 0.000 0.339 K
0.250 0.750 0.589 K
0.250 0.750 0.911 K
0.000 0.500 0.161 K
0.000 0.500 0.839 K
0.250 0.250 0.089 K
0.250 0.250 0.411 K
0.500 0.000 0.161 K
0.500 0.000 0.839 K
0.750 0.750 0.089 K
0.750 0.750 0.411 K
0.500 0.500 0.661 K
0.500 0.500 0.339 K
0.750 0.250 0.589 K
0.750 0.250 0.911 K
0.000 0.080 0.000 Sb
0.000 0.920 0.000 Sb
0.250 0.670 0.250 Sb
0.250 0.830 0.250 Sb
0.000 0.580 0.500 Sb
0.000 0.420 0.500 Sb
0.250 0.170 0.750 Sb
0.250 0.330 0.750 Sb
0.500 0.080 0.500 Sb
0.500 0.920 0.500 Sb
0.750 0.670 0.750 Sb
0.750 0.830 0.750 Sb
0.500 0.580 0.000 Sb
0.500 0.420 0.000 Sb
0.750 0.170 0.250 Sb
0.750 0.330 0.250 Sb
```

## Properties
The energy relative to the lowest polymorph listed for this composition is 130 meV/atom. The uncorrected formation energy is -0.310 eV/atom. The magnetization comes out at 0.00 μB/f.u. Its symmetry is Fddd (70).


Density functional theory data (PBE) for a relaxed structure of Na3ZrB.

Structure (POSCAR):
```
Na3ZrB
1.0
6.039 0.000 0.000
0.000 6.039 0.000
0.000 0.000 6.039
Na B Zr
3 1 1
Direct
0.000 0.500 0.000 Na
0.000 0.000 0.500 Na
0.500 0.000 0.000 Na
0.500 0.500 0.500 B
0.000 0.000 0.000 Zr
```

## Properties
Its formation energy is 2149 meV per atom. The energy relative to the lowest polymorph listed for this composition is 798 meV/atom. The magnetization comes out at 3.60 μB/f.u. Its symmetry is Pm-3m (221).


Density functional theory data (PBE) for a relaxed structure of Tm4MgGa2.

Structure (POSCAR):
```
Tm4MgGa2
1.0
5.026 0.000 0.000
2.513 4.352 0.000
2.513 1.451 8.555
Tm Mg Ga
4 1 2
Direct
0.381 0.381 0.858 Tm
0.213 0.213 0.362 Tm
0.787 0.787 0.638 Tm
0.619 0.619 0.142 Tm
0.000 0.000 0.000 Mg
0.100 0.100 0.699 Ga
0.900 0.900 0.301 Ga
```

## Properties
Its formation energy is -149 meV per atom. The magnetization comes out at 0.00 μB/f.u. Its symmetry is R-3m (166).


Please write out number 7 again, unchanged.
Density functional theory data (PBE) for a relaxed structure of Na3ZrB.

Structure (POSCAR):
```
Na3ZrB
1.0
6.039 0.000 0.000
0.000 6.039 0.000
0.000 0.000 6.039
Na B Zr
3 1 1
Direct
0.000 0.500 0.000 Na
0.000 0.000 0.500 Na
0.500 0.000 0.000 Na
0.500 0.500 0.500 B
0.000 0.000 0.000 Zr
```

## Properties
Its formation energy is 2149 meV per atom. The energy relative to the lowest polymorph listed for this composition is 798 meV/atom. The magnetization comes out at 3.60 μB/f.u. Its symmetry is Pm-3m (221).


Copy entry 6 word for word.
Density functional theory data (PBE) for a relaxed structure of KSb.

Structure (POSCAR):
```
KSb
1.0
6.324 0.000 0.000
0.000 17.500 0.000
0.000 0.000 10.863
K Sb
16 16
Direct
0.000 0.000 0.661 K
0.000 0.000 0.339 K
0.250 0.750 0.589 K
0.250 0.750 0.911 K
0.000 0.500 0.161 K
0.000 0.500 0.839 K
0.250 0.250 0.089 K
0.250 0.250 0.411 K
0.500 0.000 0.161 K
0.500 0.000 0.839 K
0.750 0.750 0.089 K
0.750 0.750 0.411 K
0.500 0.500 0.661 K
0.500 0.500 0.339 K
0.750 0.250 0.589 K
0.750 0.250 0.911 K
0.000 0.080 0.000 Sb
0.000 0.920 0.000 Sb
0.250 0.670 0.250 Sb
0.250 0.830 0.250 Sb
0.000 0.580 0.500 Sb
0.000 0.420 0.500 Sb
0.250 0.170 0.750 Sb
0.250 0.330 0.750 Sb
0.500 0.080 0.500 Sb
0.500 0.920 0.500 Sb
0.750 0.670 0.750 Sb
0.750 0.830 0.750 Sb
0.500 0.580 0.000 Sb
0.500 0.420 0.000 Sb
0.750 0.170 0.250 Sb
0.750 0.330 0.250 Sb
```

## Properties
The energy relative to the lowest polymorph listed for this composition is 130 meV/atom. The uncorrected formation energy is -0.310 eV/atom. The magnetization comes out at 0.00 μB/f.u. Its symmetry is Fddd (70).